# 1
The following is a DFT calculation (PBE) of PmCd2Hg6 after structural relaxation.

Cell lengths 15.609, 8.969, 3.232 Å; angles 90.00, 101.24, 90.00 degrees
Space group C2/m (No. 12)
Symmetry-distinct sites (fractional):
1 Pm 0.000 0.000 0.000 [2 per cell]
2 Cd 0.150 0.500 0.147 [4 per cell]
3 Hg 0.000 0.329 0.500 [4 per cell]
4 Hg 0.174 0.169 0.675 [8 per cell]

## Properties
spin magnetization	0.13	μB per cell
E_tot	-1.042	eV per atom
DFT formation energy	-0.109	eV/atom
volume	24.66	Å³/atom

***

# 2
The following is a DFT calculation (PBE) of CsKInBrCl after structural relaxation.

Cell lengths 5.699, 4.689, 8.320 Å; angles 90.00, 104.28, 90.00 degrees
Space group Pm (No. 6)
Symmetry-distinct sites (fractional):
1 Cs 0.000 0.000 0.000 [1 per cell]
2 K 0.416 0.000 0.548 [1 per cell]
3 In 0.921 0.500 0.561 [1 per cell]
4 Br 0.428 0.500 0.840 [1 per cell]
5 Cl 0.195 0.500 0.314 [1 per cell]

## Properties
spin magnetization	0.01	μB per cell
E_tot	-2.791	eV per atom
volume	43.09	Å³/atom
formation energy without anion corrections	-1.15	eV per atom

***

# 3
The following is a DFT calculation (PBE) of TaWBr2 after structural relaxation.

Cell lengths 3.1054, 3.1054, 27.3869 Å; angles 90.00, 90.00, 120.00 degrees
Space group R-3m (No. 166, hexagonal axes)
Symmetry-distinct sites (fractional):
1 Ta 0.0000 0.0000 0.0000 [3 per cell]
2 W 0.0000 0.0000 0.5000 [3 per cell]
3 Br 0.0000 0.0000 0.4069 [6 per cell]

## Properties
spin magnetization	0.00	μB per cell
E_tot	-6.326	eV per atom
volume	19.06	Å³/atom
formation energy without anion corrections	0.71	eV per atom

***

# 4
The following is a DFT calculation (PBE) of La4AsP2S after structural relaxation.

Cell lengths 8.549, 8.553, 12.082 Å; angles 90.00, 90.00, 90.00 degrees
Space group Imma (No. 74)
Symmetry-distinct sites (fractional):
1 La 0.000 0.004 0.248 [8 per cell]
2 La 0.246 0.250 0.002 [8 per cell]
3 As 0.250 0.250 0.750 [4 per cell]
4 P 0.000 0.000 0.000 [4 per cell]
5 P 0.250 0.250 0.250 [4 per cell]
6 S 0.000 0.000 0.500 [4 per cell]

## Properties
spin magnetization	0.00	μB per cell
E_tot	-6.679	eV per atom
volume	27.61	Å³/atom
formation energy without anion corrections	-1.77	eV per atom

***

# 5
The following is a DFT calculation (PBE) of RbTl3Te2 after structural relaxation.

Cell lengths 16.946, 5.223, 11.866 Å; angles 90.00, 113.07, 90.00 degrees
Space group C2/m (No. 12)
Symmetry-distinct sites (fractional):
1 Rb 0.133 0.000 0.043 [4 per cell]
2 Tl 0.025 0.000 0.361 [4 per cell]
3 Tl 0.104 0.500 0.632 [4 per cell]
4 Tl 0.210 0.500 0.404 [4 per cell]
5 Te 0.026 0.500 0.197 [4 per cell]
6 Te 0.202 0.000 0.781 [4 per cell]

## Properties
spin magnetization	0.00	μB per cell
E_tot	-2.844	eV per atom
volume	40.26	Å³/atom
formation energy without anion corrections	-0.45	eV per atom

***

# 6
The following is a DFT calculation (PBE) of EuLuGe after structural relaxation.

Cell lengths 4.8014, 4.8014, 4.2941 Å; angles 90.00, 90.00, 120.00 degrees
Space group P3m1 (No. 156)
Symmetry-distinct sites (fractional):
1 Eu 0.0000 0.0000 0.0000 [1 per cell]
2 Lu 0.6667 0.3333 0.5007 [1 per cell]
3 Ge 0.3333 0.6667 0.4968 [1 per cell]

## Properties
spin magnetization	7.41	μB per cell
E_tot	-6.866	eV per atom
DFT formation energy	-0.395	eV/atom
volume	28.58	Å³/atom